VASP calculation (PBE) on a geometry-optimized KSnGe structure.

Cell: 3.597 7.220 7.372 Å, 75.61 81.93 76.75°
Space group P1 (No. 1)
Inequivalent atoms, fractional coordinates:
K  0.000  0.000  0.000 (multiplicity 1)
K  0.107  0.056  0.486 (multiplicity 1)
Sn  0.574  0.600  0.318 (multiplicity 1)
Sn  0.758  0.633  0.809 (multiplicity 1)
Ge  0.291  0.393  0.095 (multiplicity 1)
Ge  0.417  0.372  0.699 (multiplicity 1)

Calculated values
Electronic total energy, eV per atom: -3.30
DFT formation energy, eV/atom: -0.06
N(E_F), states/eV per atom: 0.18